Below is a geometry-optimized Ce3Sb4Pd2 structure, with properties calculated at the PBE level.

Calculated values
- formation energy without anion corrections (kJ/mol of atoms) = -81.4

Cell: 11.6006 4.6776 9.1462 Å, 90.00 110.71 90.00°
Space group C2/m (No. 12)
Asymmetric unit:
1 Ce 0.0000 0.0000 0.0000 x2
2 Ce 0.1371 0.5000 0.7031 x4
3 Sb 0.0749 0.0000 0.3906 x4
4 Sb 0.1979 0.5000 0.0985 x4
5 Pd 0.1868 0.5000 0.3930 x4